No. 1
Computed, not measured: a relaxed structure of LuReW at the GGA-PBE level of DFT.

Cell lengths 4.4539, 4.4539, 4.4539 Å; angles 60.00, 60.00, 60.00 degrees
Fractional coordinates of all 3 atoms:
1 Lu 0.0000 0.0000 0.0000
2 Re 0.2500 0.2500 0.2500
3 W 0.5000 0.5000 0.5000

Summary:
The space group is F-43m (216). The value obtained for the total energy is -28.35 eV for the cell shown. The energy relative to the elements is 1.6 eV per formula unit. For the offset from the most stable computed form, the calculation gives 0.00 kJ/mol of atoms.

=====

No. 2
Computed, not measured: a relaxed structure of LuReW2 at the GGA-PBE level of DFT.

Cell lengths 4.5947, 4.5947, 4.5947 Å; angles 60.00, 60.00, 60.00 degrees
Fractional coordinates of all 4 atoms:
1 Lu 0.0000 0.0000 0.0000
2 Re 0.7500 0.7500 0.7500
3 W 0.2500 0.2500 0.2500
4 W 0.5000 0.5000 0.5000

Summary:
The space group is F-43m (216). The value obtained for the total energy is -41.93 eV for the cell shown. The energy relative to the elements is 0.9 eV per formula unit.

=====

No. 3
Computed, not measured: a relaxed structure of YLuRe at the GGA-PBE level of DFT.

Cell lengths 4.7599, 4.7599, 4.7599 Å; angles 60.00, 60.00, 60.00 degrees
Fractional coordinates of all 3 atoms:
1 Y 0.0000 0.0000 0.0000
2 Lu 0.5000 0.5000 0.5000
3 Re 0.7500 0.7500 0.7500

Summary:
The space group is F-43m (216). The value obtained for the total energy is -22.26 eV for the cell shown. The energy relative to the elements is 1.1 eV per formula unit. For the offset from the most stable computed form, the calculation gives 0.00 kJ/mol of atoms.

=====

No. 4
Computed, not measured: a relaxed structure of Y2LuRe at the GGA-PBE level of DFT.

Cell lengths 5.1207, 5.1207, 5.1207 Å; angles 60.00, 60.00, 60.00 degrees
Fractional coordinates of all 4 atoms:
1 Y 0.0000 0.0000 0.0000
2 Y 0.2500 0.2500 0.2500
3 Lu 0.7500 0.7500 0.7500
4 Re 0.5000 0.5000 0.5000

Summary:
The space group is F-43m (216). The value obtained for the total energy is -28.67 eV for the cell shown. The energy relative to the elements is 1.2 eV per formula unit.